(1)
ZnFeCo2: optimized geometry, PBE.

Calculated values
The crystal system is tetragonal. The space group is No. 119. The volume is 47.04 Å³/cell.

a = 4.4533 Å, b = 4.4533 Å, c = 4.4533 Å
α = 132.54°, β = 132.54°, γ = 69.37°
Closest atoms and distances in Å follow each position.
Fractional coordinates of all 4 atoms:
1 Co 0.2500 0.7500 0.5000  4 Zn 2.53, 4 Fe 2.56, 4 Co 2.56
2 Fe 0.5000 0.5000 0.0000  8 Co 2.53-2.56, 4 Zn 2.56
3 Co 0.0000 0.0000 0.0000  4 Fe 2.53, 4 Co 2.56, 4 Zn 2.56
4 Zn 0.7500 0.2500 0.5000  8 Co 2.53-2.56, 4 Fe 2.56

=====

(2)
ZnFeCo2: optimized geometry, PBE.

Calculated values
The crystal system is tetragonal. The space group is No. 123. The volume is 46.82 Å³/cell.

a = 2.8571 Å, b = 2.8571 Å, c = 5.7362 Å
α = 90.00°, β = 90.00°, γ = 90.00°
Closest atoms and distances in Å follow each position.
Fractional coordinates of all 4 atoms:
1 Co 0.0000 0.0000 0.0128  4 Fe 2.44, 4 Zn 2.52, 1 Co 2.72
2 Co 0.0000 0.0000 0.4872  4 Fe 2.44, 4 Zn 2.52, 1 Co 2.72
3 Fe 0.5000 0.5000 0.2500  8 Co 2.44
4 Zn 0.5000 0.5000 0.7500  8 Co 2.52

=====

(3)
ZnFeCo2: optimized geometry, PBE.

Calculated values
The crystal system is orthorhombic. The space group is No. 44. The volume is 47.10 Å³/cell.

a = 4.7212 Å, b = 4.7212 Å, c = 4.7212 Å
α = 143.81°, β = 129.92°, γ = 63.34°
Closest atoms and distances in Å follow each position.
Fractional coordinates of all 4 atoms:
1 Zn 0.2489 0.7489 0.5000  6 Co 2.48-2.53, 4 Fe 2.56-2.77
2 Co 0.7489 0.2489 0.5000  2 Fe 2.42, 2 Co 2.45, 4 Zn 2.48
3 Fe 0.5098 0.5098 0.0000  6 Co 2.42-2.48, 2 Zn 2.56
4 Co 0.9924 0.9924 0.0000  2 Co 2.45, 4 Fe 2.48, 2 Zn 2.53

=====

(4)
ZnFeCo3: optimized geometry, PBE.

Calculated values
The crystal system is cubic. The energy above the most stable polymorph in this dataset comes out at 1085 meV per atom. The space group is No. 221. The volume is 77.70 Å³/cell.

a = 4.2672 Å, b = 4.2672 Å, c = 4.2672 Å
α = 90.00°, β = 90.00°, γ = 90.00°
Closest atoms and distances in Å follow each position.
Fractional coordinates of all 5 atoms:
1 Fe 0.5000 0.5000 0.5000  12 Co 3.02
2 Zn 0.0000 0.0000 0.0000  6 Co 2.13
3 Co 0.5000 0.0000 0.0000  2 Zn 2.13
4 Co 0.0000 0.5000 0.0000  2 Zn 2.13
5 Co 0.0000 0.0000 0.5000  2 Zn 2.13

=====

Which energy of formation from the pure elements belongs to each record? In order, 0.028 -0.041 0.016 1.310 eV/atom.
Which calculated total energy belongs to each record? In order, -5.959 -6.028 -5.971 -4.901 eV/atom.